# 1
Density functional theory data (GGA-PBE) for crystalline BeNiSe2 at its relaxed geometry.

V = 18.0 Å³/atom
DOS at the Fermi energy = 0.5134 states/eV/atom
total magnetic moment = 0.0 Bohr magnetons per cell
E = -0.15248 Ha/atom

Cell lengths 7.3336, 7.3336, 7.3336 Å; angles 154.77, 154.62, 36.09 degrees
Fractional coordinates of all 4 atoms:
Ni 0.1811 0.6811 0.5000
Se 0.0132 0.0132 0.0000
Se 0.7527 0.2527 0.5000
Be 0.5530 0.5530 0.0000



# 2
Density functional theory data (GGA-PBE) for crystalline MgSiAu at its relaxed geometry.

V = 17.9 Å³/atom
DOS at the Fermi energy = 0.4436 states/eV/atom
total magnetic moment = 0.0 Bohr magnetons per cell
E = -0.12761 Ha/atom

Cell lengths 5.8997, 5.8996, 3.1303 Å; angles 74.62, 74.61, 30.77 degrees
Fractional coordinates of all 3 atoms:
Au 0.9945 0.9945 0.0055
Mg 0.6623 0.6623 0.3377
Si 0.3432 0.3432 0.6568



# 3
Density functional theory data (GGA-PBE) for crystalline HfZr4Sc3 at its relaxed geometry.

V = 23.2 Å³/atom
DOS at the Fermi energy = 1.3454 states/eV/atom
total magnetic moment = 0.0 Bohr magnetons per cell
formation enthalpy at 0 K = 0.032 eV per atom

Cell lengths 3.1724, 4.9582, 11.8246 Å; angles 90.00, 90.00, 90.00 degrees
Fractional coordinates of all 8 atoms:
Sc 0.0000 0.5000 0.5662
Sc 0.0000 0.0000 0.4341
Sc 0.5000 0.0000 0.9358
Hf 0.5000 0.5000 0.0662
Zr 0.5000 0.5000 0.3180
Zr 0.0000 0.5000 0.8254
Zr 0.0000 0.0000 0.1770
Zr 0.5000 0.0000 0.6772



# 4
Density functional theory data (GGA-PBE) for crystalline TaMn2Ru2 at its relaxed geometry.

V = 13.7 Å³/atom
DOS at the Fermi energy = 0.8277 states/eV/atom
total magnetic moment = 0.0 Bohr magnetons per cell
formation enthalpy at 0 K = 0.021 eV per atom

Cell lengths 7.0764, 7.0764, 2.7314 Å; angles 90.00, 90.00, 90.00 degrees
Fractional coordinates of all 10 atoms:
Ru 0.1748 0.6748 0.5000
Ru 0.6748 0.8252 0.5000
Ru 0.8252 0.3252 0.5000
Ru 0.3252 0.1748 0.5000
Mn 0.3815 0.8815 0.0000
Mn 0.8815 0.6185 0.0000
Mn 0.6185 0.1185 0.0000
Mn 0.1185 0.3815 0.0000
Ta 0.0000 0.0000 0.0000
Ta 0.5000 0.5000 0.0000